{"formula": "KDyCrF6", "functional": "GGA+U", "state": "optimized geometry", "cell": [[5.878, 0.000, 0.000], [-2.939, 5.090, 0.000], [0.000, 0.000, 10.931]], "species": ["K", "K", "Dy", "Dy", "Cr", "Cr", "F", "F", "F", "F", "F", "F", "F", "F", "F", "F", "F", "F"], "frac_coords": [[0.000, 0.000, 0.000], [0.000, 0.000, 0.500], [0.667, 0.333, 0.250], [0.333, 0.667, 0.750], [0.333, 0.667, 0.250], [0.667, 0.333, 0.750], [0.624, 0.630, 0.146], [0.007, 0.376, 0.146], [0.376, 0.007, 0.646], [0.993, 0.624, 0.854], [0.370, 0.376, 0.354], [0.007, 0.630, 0.354], [0.630, 0.007, 0.854], [0.624, 0.993, 0.354], [0.993, 0.370, 0.646], [0.370, 0.993, 0.146], [0.630, 0.624, 0.646], [0.376, 0.370, 0.854]], "total_energy_ev_per_atom": -5.93}